## MgCrIr2 (PBE-GGA)

Data for a geometry-optimized MgCrIr2 structure.

It has space group P4/mmm (No. 123), with a = 2.797 Å, b = 2.797 Å, c = 7.318 Å, α = 90.00°, β = 90.00° and γ = 90.00°. The distinct sites, in fractional coordinates, are Mg at (0.000, 0.000, 0.000), Cr at (0.000, 0.000, 0.500) and Ir at (0.500, 0.500, 0.274).

Its calculated total energy is -30.08 eV per formula unit. The calculation puts the formation energy at -286 meV per atom. The density of states at the Fermi level comes out at 2.99 states/eV/cell. As for the total magnetization: 0.00 μB per formula unit.